[1]
Material: BaTl2ZnIn
Method: DFT, PBE
State: relaxed

a b c (Å): 5.5929 5.5929 5.2220
angles (deg): 90.00 90.00 90.00
Space group P4/mmm (No. 123)
Asymmetric unit:
Ba  0.0000  0.0000  0.0000 (multiplicity 1)
Tl  0.0000  0.5000  0.5000 (multiplicity 2)
Zn  0.5000  0.5000  0.5000 (multiplicity 1)
In  0.5000  0.5000  0.0000 (multiplicity 1)

Results
The density comes out at 7.38 g/cm3. The calculation puts the magnetization at 0.00 μB per formula unit. As for the crystal system: tetragonal. The density of states at the Fermi level comes out at 4.513 states/eV/cell. The formation energy comes out at -0.4 eV/f.u.

=====

[2]
Material: ZnRu2Au
Method: DFT, PBE
State: relaxed

a b c (Å): 2.7914 4.5951 4.7426
angles (deg): 90.00 90.00 90.00
Space group Pmmm (No. 47)
Asymmetric unit:
Zn  0.0000  0.0000  0.0000 (multiplicity 1)
Ru  0.0000  0.5000  0.5000 (multiplicity 1)
Ru  0.5000  0.0000  0.5000 (multiplicity 1)
Au  0.5000  0.5000  0.0000 (multiplicity 1)

Results
The density comes out at 12.68 g/cm3. The calculation puts the magnetization at 0.91 μB per formula unit. As for the crystal system: orthorhombic. The density of states at the Fermi level comes out at 4.470 states/eV/cell. The formation energy comes out at 1.2 eV/f.u.

=====

[3]
Material: Ho2TmThSb4
Method: DFT, PBE
State: relaxed

a b c (Å): 7.6075 4.4061 7.6155
angles (deg): 90.00 109.50 90.00
Space group P2/m (No. 10)
Asymmetric unit:
Ho  0.0000  0.0000  0.0000 (multiplicity 1)
Ho  0.5000  0.5000  0.0000 (multiplicity 1)
Tm  0.0000  0.5000  0.5000 (multiplicity 1)
Th  0.5000  0.0000  0.5000 (multiplicity 1)
Sb  0.2422  0.5000  0.2438 (multiplicity 2)
Sb  0.2453  0.0000  0.7516 (multiplicity 2)

Results
The density comes out at 8.40 g/cm3. The calculation puts the magnetization at 0.00 μB per formula unit. As for the formation energy (no corrections): -1.058 eV per atom. As for the crystal system: monoclinic. The density of states at the Fermi level comes out at 1.658 states/eV/cell.

=====

[4]
Material: LiRh2Se
Method: DFT, PBE
State: relaxed

a b c (Å): 2.9962 4.2828 9.1234
angles (deg): 90.00 90.00 90.00
Space group Imm2 (No. 44)
Asymmetric unit:
Li  0.0000  0.0000  0.0000 (multiplicity 2)
Rh  0.0000  0.0000  0.4678 (multiplicity 2)
Rh  0.0000  0.5000  0.2273 (multiplicity 2)
Se  0.0000  0.5000  0.7560 (multiplicity 2)

Results
The density comes out at 8.28 g/cm3. The calculation puts the magnetization at 0.00 μB per formula unit. As for the formation energy (no corrections): -0.202 eV per atom. As for the crystal system: orthorhombic. The density of states at the Fermi level comes out at 7.148 states/eV/cell.

=====

[5]
Material: CoMo2Au
Method: DFT, PBE
State: relaxed

a b c (Å): 2.7213 2.7213 8.0234
angles (deg): 90.00 90.00 90.00
Space group P4/mmm (No. 123)
Asymmetric unit:
Co  0.0000  0.0000  0.0000 (multiplicity 1)
Mo  0.5000  0.5000  0.2199 (multiplicity 2)
Au  0.0000  0.0000  0.5000 (multiplicity 1)

Results
Its energy above the most stable polymorph in this dataset is 0.000 eV per atom. The density comes out at 12.51 g/cm3. The calculation puts the magnetization at 1.00 μB per formula unit. As for the crystal system: tetragonal. The density of states at the Fermi level comes out at 3.672 states/eV/cell. The formation energy comes out at 0.6 eV/f.u.

=====

[6]
Material: MgBeZn2Au5
Method: DFT, PBE
State: relaxed

a b c (Å): 4.4676 5.6152 13.4438
angles (deg): 90.00 90.00 90.00
Space group Immm (No. 71)
Asymmetric unit:
Mg  0.0000  0.0000  0.0000 (multiplicity 2)
Be  0.0000  0.0000  0.5000 (multiplicity 2)
Zn  0.0000  0.5000  0.1967 (multiplicity 4)
Au  0.0000  0.2583  0.3651 (multiplicity 8)
Au  0.0000  0.5000  0.0000 (multiplicity 2)

Results
The density comes out at 11.31 g/cm3. The calculation puts the magnetization at 0.00 μB per formula unit. As for the crystal system: orthorhombic. The density of states at the Fermi level comes out at 7.188 states/eV/cell. The formation energy comes out at -1.4 eV/f.u.

=====

[7]
Material: ScCd2Ir
Method: DFT, PBE
State: relaxed

a b c (Å): 3.0995 3.0995 28.9503
angles (deg): 90.00 90.00 120.00
Space group R3m (No. 160, hexagonal axes)
Asymmetric unit:
Sc  0.0000  0.0000  0.0000 (multiplicity 3)
Cd  0.0000  0.0000  0.5190 (multiplicity 3)
Cd  0.0000  0.0000  0.7581 (multiplicity 3)
Ir  0.0000  0.0000  0.2673 (multiplicity 3)

Results
The density comes out at 9.56 g/cm3. The calculation puts the magnetization at 0.00 μB per formula unit. As for the crystal system: trigonal. The density of states at the Fermi level comes out at 6.284 states/eV/cell. The formation energy comes out at -0.6 eV/f.u.

=====

[8]
Material: La2Y7Tm
Method: DFT, PBE
State: relaxed

a b c (Å): 6.5989 29.1278 3.5240
angles (deg): 90.00 90.00 90.00
Space group Cmmm (No. 65)
Asymmetric unit:
La  0.0000  0.2061  0.0000 (multiplicity 4)
Y  0.0000  0.0000  0.0000 (multiplicity 2)
Y  0.0000  0.3155  0.5000 (multiplicity 4)
Y  0.2438  0.4033  0.0000 (multiplicity 8)
Tm  0.0000  0.5000  0.5000 (multiplicity 2)

Results
Its energy above the most stable polymorph in this dataset is 0.137 eV per atom. The density comes out at 5.24 g/cm3. The calculation puts the magnetization at 0.00 μB per formula unit. As for the crystal system: orthorhombic. The density of states at the Fermi level comes out at 36.174 states/eV/cell. The formation energy comes out at 1.6 eV/f.u.

=====

[9]
Material: LaTb3Ho12
Method: DFT, PBE
State: relaxed

a b c (Å): 5.0146 5.0146 20.0755
angles (deg): 90.00 90.00 90.00
Space group P4/mmm (No. 123)
Asymmetric unit:
La  0.0000  0.0000  0.0000 (multiplicity 1)
Tb  0.0000  0.0000  0.2512 (multiplicity 2)
Tb  0.0000  0.0000  0.5000 (multiplicity 1)
Ho  0.0000  0.5000  0.1280 (multiplicity 4)
Ho  0.0000  0.5000  0.3760 (multiplicity 4)
Ho  0.5000  0.5000  0.0000 (multiplicity 1)
Ho  0.5000  0.5000  0.2524 (multiplicity 2)
Ho  0.5000  0.5000  0.5000 (multiplicity 1)

Results
The density comes out at 8.54 g/cm3. The calculation puts the magnetization at 0.00 μB per formula unit. As for the crystal system: tetragonal. The density of states at the Fermi level comes out at 21.795 states/eV/cell. The formation energy comes out at 0.4 eV/f.u.

=====

[10]
Material: Tb3Ge2Ru3C
Method: DFT, PBE
State: relaxed

a b c (Å): 7.1282 7.1282 3.5667
angles (deg): 90.00 90.00 120.00
Space group P-62m (No. 189)
Asymmetric unit:
Tb  0.0000  0.3735  0.0000 (multiplicity 3)
Ge  0.3333  0.6667  0.5000 (multiplicity 2)
Ru  0.0000  0.7798  0.5000 (multiplicity 3)
C  0.0000  0.0000  0.0000 (multiplicity 1)

Results
The density comes out at 9.92 g/cm3. The calculation puts the magnetization at 0.00 μB per formula unit. As for the crystal system: hexagonal. The density of states at the Fermi level comes out at 4.028 states/eV/cell. The formation energy comes out at -3.4 eV/f.u.

=====

[11]
Material: BeRe2Pb
Method: DFT, PBE
State: relaxed

a b c (Å): 5.2520 8.2689 3.0049
angles (deg): 90.00 90.00 90.00
Space group Cmmm (No. 65)
Asymmetric unit:
Be  0.0000  0.0000  0.0000 (multiplicity 2)
Re  0.2500  0.2500  0.5000 (multiplicity 4)
Pb  0.0000  0.5000  0.0000 (multiplicity 2)

Results
Its energy above the most stable polymorph in this dataset is 0.815 eV per atom. The density comes out at 14.98 g/cm3. The calculation puts the magnetization at 0.00 μB per formula unit. As for the crystal system: orthorhombic. The density of states at the Fermi level comes out at 7.659 states/eV/cell. The formation energy comes out at 4.6 eV/f.u.

=====

[12]
Material: NdTlRh
Method: DFT, PBE
State: relaxed

a b c (Å): 3.5423 3.5423 11.1682
angles (deg): 90.00 90.00 90.00
Space group I4mm (No. 107)
Asymmetric unit:
Nd  0.0000  0.0000  0.0000 (multiplicity 2)
Tl  0.0000  0.0000  0.7105 (multiplicity 2)
Rh  0.0000  0.0000  0.3506 (multiplicity 2)

Results
The density comes out at 10.70 g/cm3. The calculation puts the magnetization at 0.00 μB per formula unit. As for the crystal system: tetragonal. The density of states at the Fermi level comes out at 4.607 states/eV/cell. The formation energy comes out at -1.0 eV/f.u.